1.
The following is a DFT calculation (SCAN) of LiLa2Mg at its PBEsol-relaxed geometry.

The structure belongs to space group P4mm (No. 99); the cell edges are 3.5823, 3.5823 and 8.5442 Å and the angles 90.00°, 90.00° and 90.00°. The asymmetric unit holds Li at (0.0000, 0.0000, 0.0000), La at (0.0000, 0.0000, 0.4464), La at (0.5000, 0.5000, 0.7356) and Mg at (0.5000, 0.5000, 0.1694).

The value obtained for the formation energy is 0.000 eV/atom. Its volume is 27.4 A^3/atom. The value obtained for the total energy is -1.7194 Ry/atom. The offset from the most stable computed form is 15 meV per atom.

2.
The following is a DFT calculation (SCAN) of ScCd2 at its PBEsol-relaxed geometry.

The structure belongs to space group Fd-3m (No. 227, origin choice 2); the cell edges are 7.9650, 7.9650 and 7.9650 Å and the angles 90.00°, 90.00° and 90.00°. The asymmetric unit holds Sc at (0.1250, 0.1250, 0.1250) and Cd at (0.0000, 0.0000, 0.5000).

The value obtained for the formation energy is -0.267 eV/atom. Its volume is 21.1 A^3/atom. The value obtained for the total energy is -1.8587 Ry/atom.

3.
The following is a DFT calculation (SCAN) of LuCdHg2 at its PBEsol-relaxed geometry.

The structure belongs to space group Fm-3m (No. 225); the cell edges are 6.9720, 6.9720 and 6.9720 Å and the angles 90.00°, 90.00° and 90.00°. The asymmetric unit holds Lu at (0.0000, 0.0000, 0.0000), Cd at (0.0000, 0.0000, 0.5000) and Hg at (0.2500, 0.2500, 0.2500).

The value obtained for the formation energy is -0.450 eV/atom. Its volume is 21.2 A^3/atom. The value obtained for the total energy is -4.1139 Ry/atom.

4.
The following is a DFT calculation (SCAN) of HfCoO2F at its PBEsol-relaxed geometry.

The structure belongs to space group P4/mmm (No. 123); the cell edges are 4.0494, 4.0494 and 4.0303 Å and the angles 90.00°, 90.00° and 90.00°. The asymmetric unit holds Hf at (0.0000, 0.0000, 0.0000), Co at (0.5000, 0.5000, 0.5000), O at (0.0000, 0.5000, 0.0000) and F at (0.0000, 0.0000, 0.5000).

Its volume is 13.2 A^3/atom. The value obtained for the total energy is -1.5720 Ry/atom.

5.
The following is a DFT calculation (SCAN) of LiHgSe3 at its PBEsol-relaxed geometry.

The structure belongs to space group Pm-3m (No. 221); the cell edges are 5.2263, 5.2263 and 5.2263 Å and the angles 90.00°, 90.00° and 90.00°. The asymmetric unit holds Li at (0.0000, 0.0000, 0.0000), Hg at (0.5000, 0.5000, 0.5000) and Se at (0.0000, 0.5000, 0.5000).

Its volume is 28.6 A^3/atom. The value obtained for the total energy is -1.9039 Ry/atom.

6.
The following is a DFT calculation (SCAN) of Ti4P3 at its PBEsol-relaxed geometry.

The structure belongs to space group I-43d (No. 220); the cell edges are 7.3392, 7.3392 and 7.3392 Å and the angles 90.00°, 90.00° and 90.00°. The asymmetric unit holds Ti at (0.0698, 0.0698, 0.0698) and P at (0.0000, 0.2500, 0.3750).

The value obtained for the formation energy is -1.236 eV/atom. Its volume is 14.1 A^3/atom. The value obtained for the total energy is -1.0916 Ry/atom.

Q: Which spin magnetization values were calculated for the entries above? A: 0.19, 0.39, 0.00, 2.25, 0.00, 0.00, in μB/f.u..